## LiMoNF2 (PBE with a Hubbard U)

Data for an optimized crystal structure of LiMoNF2.

Summary:
crystal system: tetragonal
spin magnetization: 2.0 μB per cell
ΔE to the lowest computed polymorph: 373 meV per atom
theoretical density: 5.0 g cm⁻³
space-group type: No. 123

```
LiMoNF2
1.0
3.407 0.000 0.000
0.000 3.407 0.000
0.000 0.000 4.441
Li Mo N F
1 1 1 2
Direct
0.000 0.000 0.000
0.500 0.500 0.500
0.000 0.000 0.500
0.000 0.500 0.000
0.500 0.000 0.000
```